1.
# MnIrAu (PBE-GGA, optimized geometry)
# energy of formation: 0.23 eV per atom
# excess energy over the best structure of this formula in the dataset: 0.179 eV per atom
# raw total energy: -6.868 eV/atom
data_MnIrAu
_symmetry_space_group_name_H-M 'P 3 m 1'
_symmetry_Int_Tables_number 156
_cell_length_a 4.3754
_cell_length_b 4.3754
_cell_length_c 2.8232
_cell_angle_alpha 90.00
_cell_angle_beta 90.00
_cell_angle_gamma 120.00
loop_
_symmetry_equiv_pos_as_xyz
'x,y,z'
'-y,x-y,z'
'-x+y,-x,z'
'-y,-x,z'
'-x+y,y,z'
'x,x-y,z'
loop_
_atom_site_label
_atom_site_type_symbol
_atom_site_fract_x
_atom_site_fract_y
_atom_site_fract_z
Mn1 Mn 0.0000 0.0000 0.0000
Ir1 Ir 0.3333 0.6667 0.7579
Au1 Au 0.6667 0.3333 0.3103


2.
# TlPd2S (PBE-GGA, optimized geometry)
# excess energy over the best structure of this formula in the dataset: 0.000 eV per atom
# raw total energy: -4.406 eV/atom
# raw formation energy: -0.1858 eV per atom
data_TlPd2S
_symmetry_space_group_name_H-M 'I -4 2 d'
_symmetry_Int_Tables_number 122
_symmetry_space_group_name_Hall 'I -4 2bw'
_cell_length_a 4.972
_cell_length_b 4.972
_cell_length_c 14.772
_cell_angle_alpha 90.00
_cell_angle_beta 90.00
_cell_angle_gamma 90.00
loop_
_atom_site_label
_atom_site_type_symbol
_atom_site_fract_x
_atom_site_fract_y
_atom_site_fract_z
Tl1 Tl 0.000 0.000 0.000
Pd1 Pd 0.123 0.250 0.625
S1 S 0.000 0.000 0.500


3.
# DyLu3N (PBE-GGA, optimized geometry)
# raw total energy: -5.826 eV/atom
# raw formation energy: -0.5277 eV per atom
data_DyLu3N
_symmetry_space_group_name_H-M 'P m -3 m'
_symmetry_Int_Tables_number 221
_symmetry_space_group_name_Hall '-P 4 2 3'
_cell_length_a 4.846
_cell_length_b 4.846
_cell_length_c 4.846
_cell_angle_alpha 90.00
_cell_angle_beta 90.00
_cell_angle_gamma 90.00
loop_
_atom_site_label
_atom_site_type_symbol
_atom_site_fract_x
_atom_site_fract_y
_atom_site_fract_z
Dy1 Dy 0.000 0.000 0.000
Lu1 Lu 0.000 0.500 0.500
N1 N 0.500 0.500 0.500


4.
# NbAgHF2 (PBE-GGA, optimized geometry)
# raw total energy: -4.208 eV/atom
data_NbAgHF2
_symmetry_space_group_name_H-M 'P 4/m m m'
_symmetry_Int_Tables_number 123
_symmetry_space_group_name_Hall '-P 4 2'
_cell_length_a 4.455
_cell_length_b 4.455
_cell_length_c 3.190
_cell_angle_alpha 90.00
_cell_angle_beta 90.00
_cell_angle_gamma 90.00
loop_
_atom_site_label
_atom_site_type_symbol
_atom_site_fract_x
_atom_site_fract_y
_atom_site_fract_z
Nb1 Nb 0.000 0.000 0.000
Ag1 Ag 0.500 0.500 0.000
H1 H 0.500 0.500 0.500
F1 F 0.000 0.500 0.500